a:
A relaxed MnSiTeI2 crystal, computed with PBE.

The structure in POSCAR format:
```
MnSiTeI2
1.0
-4.916 2.199 -0.230
-0.319 -1.259 -5.232
-1.988 -4.324 1.162
Mn Si I Te
1 1 2 1
Direct
0.000 0.000 0.000
0.500 0.500 0.500
0.000 0.500 0.000
0.500 0.000 0.000
0.000 0.000 0.500
```

Properties
Fermi-level density of states	7.68	states/eV/cell

b:
A relaxed MnSiTeI2 crystal, computed with PBE.

The structure in POSCAR format:
```
MnSiTeI2
1.0
5.509 0.000 0.000
0.000 5.509 0.000
0.000 0.000 5.451
Mn I Te Si
1 2 1 1
Direct
0.500 0.500 0.500
0.500 0.000 0.000
0.000 0.500 0.000
0.000 0.000 0.500
0.000 0.000 0.000
```

Properties
Fermi-level density of states	1.34	states/eV/cell

It is a that is the least stable of them.